Computed, not measured: a relaxed structure of Fe3Ag at the PBE-GGA level of DFT.

For the formation enthalpy at 0 K, the calculation gives 0.29 eV per atom. For the density of states at the Fermi level, the calculation gives 3.1 states/eV/f.u.

The structure belongs to space group P2/m (No. 10); the cell edges are 2.6152, 3.8602 and 5.3963 Å and the angles 90.00°, 97.31° and 90.00°. The distinct sites, in fractional coordinates, are Fe at (0.0000, 0.0000, 0.0000), Fe at (0.4445, 0.5000, 0.2175) and Ag at (0.0000, 0.0000, 0.5000).